{
  "formula": "KSiB",
  "functional": "PBE",
  "state": "optimized geometry",
  "magnetic_moment_mub_per_cell": 0.0,
  "raw_formation_energy_ev_per_atom": 0.42,
  "lattice": [[-3.434, 2.306, -1.513], [0.158, -2.608, -4.335], [-4.331, -4.698, 2.669]],
  "species": ["K", "K", "B", "B", "Si", "Si"],
  "frac_coords": [[0.250, 0.000, 0.244], [0.750, 0.000, 0.756], [0.500, 0.500, 0.500], [0.000, 0.500, 0.500], [0.250, 0.500, 0.730], [0.750, 0.500, 0.270]]
}